No. 1
First-principles (PBE) data for crystalline Dy6CdIn3 at its relaxed geometry, as listed in Alexandria.

* ΔE_f: -0.3325 eV/atom
* magnetic moment: 0.0 μB per formula unit

Unit cell a=5.334 b=9.316 c=11.643 alpha=108.18 beta=90.00 gamma=90.00
Element x y z (fractional)
Dy 0.250 0.460 0.086
Dy 0.750 0.540 0.914
Dy 0.250 0.134 0.164
Dy 0.750 0.866 0.836
Dy 0.250 0.662 0.677
Dy 0.750 0.338 0.323
Dy 0.250 0.248 0.497
Dy 0.750 0.752 0.503
Dy 0.250 0.842 0.303
Dy 0.750 0.158 0.697
Dy 0.250 0.093 0.878
Dy 0.750 0.907 0.122
Cd 0.250 0.958 0.597
Cd 0.750 0.042 0.403
In 0.250 0.532 0.382
In 0.750 0.468 0.618
In 0.250 0.375 0.784
In 0.750 0.625 0.216
In 0.250 0.775 0.973
In 0.750 0.225 0.027

No. 2
First-principles (PBE) data for crystalline Dy3Cd2In3 at its relaxed geometry, as listed in Alexandria.

* E above lowest polymorph: 0 kJ/mol of formula units
* ΔE_f: -0.3709 eV/atom
* magnetic moment: 0.1 μB per formula unit

Unit cell a=4.735 b=6.171 c=15.468 alpha=90.00 beta=90.00 gamma=112.56
Element x y z (fractional)
Dy 0.923 0.845 0.387
Dy 0.077 0.155 0.887
Dy 0.923 0.845 0.113
Dy 0.077 0.155 0.613
Dy 0.659 0.319 0.250
Dy 0.341 0.681 0.750
Cd 0.783 0.566 0.896
Cd 0.217 0.434 0.396
Cd 0.783 0.566 0.604
Cd 0.217 0.434 0.104
In 0.610 0.219 0.455
In 0.390 0.781 0.955
In 0.610 0.219 0.045
In 0.390 0.781 0.545
In 0.378 0.755 0.250
In 0.622 0.245 0.750

No. 3
First-principles (PBE) data for crystalline LaDyCd2In2 at its relaxed geometry, as listed in Alexandria.

* ΔE_f: -0.4370 eV/atom
* magnetic moment: 0.0 μB per formula unit

Unit cell a=4.943 b=4.943 c=7.573 alpha=90.00 beta=90.00 gamma=120.00
Element x y z (fractional)
La 0.000 0.000 0.000
Dy 0.000 0.000 0.500
Cd 0.333 0.667 0.286
Cd 0.667 0.333 0.714
In 0.333 0.667 0.740
In 0.667 0.333 0.260

No. 4
First-principles (PBE) data for crystalline La5DyCd2In at its relaxed geometry, as listed in Alexandria.

* ΔE_f: -0.1156 eV/atom
* magnetic moment: 0.0 μB per formula unit

Unit cell a=7.880 b=7.880 c=11.257 alpha=110.49 beta=110.49 gamma=90.00
Element x y z (fractional)
La 0.924 0.424 0.275
La 0.649 0.149 0.725
La 0.076 0.576 0.725
La 0.149 0.076 0.725
La 0.576 0.649 0.725
La 0.851 0.924 0.275
La 0.424 0.351 0.275
La 0.351 0.851 0.275
La 0.500 0.500 0.000
La 0.000 0.000 0.000
Dy 0.250 0.250 0.500
Dy 0.750 0.750 0.500
Cd 0.119 0.381 0.000
Cd 0.619 0.119 0.000
Cd 0.381 0.881 0.000
Cd 0.881 0.619 0.000
In 0.250 0.750 0.500
In 0.750 0.250 0.500

No. 5
First-principles (PBE) data for crystalline LaDyCdIn at its relaxed geometry, as listed in Alexandria.

* ΔE_f: -0.4099 eV/atom
* magnetic moment: 0.0 μB per formula unit

Unit cell a=5.458 b=5.458 c=5.458 alpha=60.00 beta=60.00 gamma=60.00
Element x y z (fractional)
Cd 0.750 0.750 0.750
La 0.000 0.000 0.000
In 0.250 0.250 0.250
Dy 0.500 0.500 0.500

No. 6
First-principles (PBE) data for crystalline DyLuCdIn at its relaxed geometry, as listed in Alexandria.

* ΔE_f: -0.3807 eV/atom
* magnetic moment: 0.0 μB per formula unit

Unit cell a=5.251 b=5.251 c=5.251 alpha=60.00 beta=60.00 gamma=60.00
Element x y z (fractional)
Cd 0.250 0.250 0.250
Lu 0.000 0.000 0.000
In 0.750 0.750 0.750
Dy 0.500 0.500 0.500